No. 1
Here is an optimized crystal structure of ScPaMo4 from Alexandria. Energies are from PBE.

Geometry as CIF:
```
data_ScPaMo4
_space_group_name_H-M_alt 'F -4 3 m'
_space_group_IT_number 216
_space_group_name_Hall 'F -4 2 3'
_cell_length_a 7.702
_cell_length_b 7.702
_cell_length_c 7.702
_cell_angle_alpha 90.00
_cell_angle_beta 90.00
_cell_angle_gamma 90.00
loop_
_atom_site_label
_atom_site_type_symbol
_atom_site_fract_x
_atom_site_fract_y
_atom_site_fract_z
Sc1 Sc 0.000 0.000 0.000
Pa1 Pa 0.250 0.250 0.750
Mo1 Mo 0.125 0.125 0.375
```


No. 2
# ScPaMo | Alexandria | PBE | relaxed
data_ScPaMo
_space_group_name_H-M_alt 'I 4 m m'
_space_group_IT_number 107
_space_group_name_Hall 'I 4 -2'
_cell_length_a 3.439
_cell_length_b 3.439
_cell_length_c 10.608
_cell_angle_alpha 90.00
_cell_angle_beta 90.00
_cell_angle_gamma 90.00
loop_
_atom_site_label
_atom_site_type_symbol
_atom_site_fract_x
_atom_site_fract_y
_atom_site_fract_z
Sc1 Sc 0.000 0.000 0.000
Pa1 Pa 0.000 0.000 0.694
Mo1 Mo 0.000 0.000 0.325
# ΔE to the lowest computed polymorph: 0.0 meV/atom


In the order shown, the computed density values come out to 9.59; 9.85 g/cm³.
In the order shown, the computed energy of formation from the pure elements values come out to 0.40; 0.18 eV/f.u..